# TeRu2Rh

A relaxed TeRu2Rh crystal (PBE, Alexandria via LeMat-Bulk).

The uncorrected formation energy comes out at 0.44 eV/atom. For the electronic total energy, the calculation gives -6.82 eV/atom. Its space-group type is F-43m (216). The total magnetization comes out at 0.58 μB per atom. The crystal system is cubic. Its density of states at the Fermi level is 1.777 states/eV/atom.

abc: 4.5013 4.5013 4.5013
angles: 60.00 60.00 60.00
Each line ends with the local moment (μB).
Sites, in units of the cell vectors:
Rh: 0.5000 0.5000 0.5000  0.52
Ru: 0.0000 0.0000 0.0000  0.90
Ru: 0.7500 0.7500 0.7500  0.83
Te: 0.2500 0.2500 0.2500  0.02

***

# Te2RuRh

A relaxed Te2RuRh crystal (PBE, Alexandria via LeMat-Bulk).

The uncorrected formation energy comes out at 0.16 eV/atom. For the electronic total energy, the calculation gives -5.57 eV/atom. Its space-group type is Imm2 (44). The total magnetization comes out at 0.00 μB per atom. The calculation puts the energy above the most stable polymorph in this dataset at 237 meV per atom. The crystal system is orthorhombic. Its density of states at the Fermi level is 0.750 states/eV/atom.

abc: 6.9234 6.9234 6.9234
angles: 153.64 142.59 46.34
Sites, in units of the cell vectors:
Rh: 0.5582 0.5582 0.0000
Ru: 0.1880 0.6880 0.5000
Te: 0.0130 0.0130 0.0000
Te: 0.7408 0.2408 0.5000

***

# TeRuRh2

A relaxed TeRuRh2 crystal (PBE, Alexandria via LeMat-Bulk).

The uncorrected formation energy comes out at 0.20 eV/atom. For the electronic total energy, the calculation gives -6.58 eV/atom. Its space-group type is P2/m (10). The total magnetization comes out at 0.00 μB per atom. The crystal system is monoclinic. Its density of states at the Fermi level is 1.172 states/eV/atom.

abc: 3.8289 2.9834 6.3845
angles: 62.48 90.00 90.00
Sites, in units of the cell vectors:
Rh: 0.0000 0.9777 0.0198
Rh: 0.0000 0.5223 0.4802
Ru: 0.5000 0.2500 0.2500
Te: 0.5000 0.7500 0.7500

***

# TeRuRh2

A relaxed TeRuRh2 crystal (PBE, Alexandria via LeMat-Bulk).

The uncorrected formation energy comes out at 0.13 eV/atom. For the electronic total energy, the calculation gives -6.65 eV/atom. Its space-group type is I-4m2 (119). The total magnetization comes out at 0.00 μB per atom. The crystal system is tetragonal. Its density of states at the Fermi level is 1.534 states/eV/atom.

abc: 4.7335 4.7335 4.7335
angles: 128.79 128.79 75.35
Sites, in units of the cell vectors:
Rh: 0.0000 0.0000 0.0000
Rh: 0.2500 0.7500 0.5000
Ru: 0.5000 0.5000 0.0000
Te: 0.7500 0.2500 0.5000